Record 1
Below is a relaxed BaBeIr2 crystal, with properties calculated at the PBE-GGA level.

Geometry as CIF:
```
data_BaBeIr2
_chemical_formula_sum 'Ba1 Be1 Ir2'
_cell_length_a 4.986
_cell_length_b 4.986
_cell_length_c 4.986
_cell_angle_alpha 127.77
_cell_angle_beta 127.77
_cell_angle_gamma 76.99
_space_group_name_H-M_alt 'P 1'
_space_group_IT_number 1
loop_
_space_group_symop_operation_xyz
'x,y,z'
loop_
_atom_site_label
_atom_site_type_symbol
_atom_site_fract_x
_atom_site_fract_y
_atom_site_fract_z
Ir1 Ir 0.000 0.000 0.000
Ir2 Ir 0.250 0.750 0.500
Ba1 Ba 0.500 0.500 0.000
Be1 Be 0.750 0.250 0.500
```

The space group is I-4m2 (119). The value obtained for the total energy is -4.943 eV/atom.

***

Record 2
Below is a relaxed Ba2BeIr crystal, with properties calculated at the PBE-GGA level.

Geometry as CIF:
```
data_Ba2BeIr
_chemical_formula_sum 'Ba2 Be1 Ir1'
_cell_length_a 8.732
_cell_length_b 8.732
_cell_length_c 8.732
_cell_angle_alpha 152.37
_cell_angle_beta 150.43
_cell_angle_gamma 40.91
_space_group_name_H-M_alt 'P 1'
_space_group_IT_number 1
loop_
_space_group_symop_operation_xyz
'x,y,z'
loop_
_atom_site_label
_atom_site_type_symbol
_atom_site_fract_x
_atom_site_fract_y
_atom_site_fract_z
Ir1 Ir 0.355 0.855 0.500
Ba1 Ba 0.759 0.259 0.500
Ba2 Ba 0.987 0.987 0.000
Be1 Be 0.399 0.399 0.000
```

The space group is Imm2 (44). The value obtained for the total energy is -4.173 eV/atom.

***

Record 3
Below is a relaxed BaBeIr2 crystal, with properties calculated at the PBE-GGA level.

Geometry as CIF:
```
data_BaBeIr2
_chemical_formula_sum 'Ba1 Be1 Ir2'
_cell_length_a 4.248
_cell_length_b 4.205
_cell_length_c 4.205
_cell_angle_alpha 90.00
_cell_angle_beta 90.00
_cell_angle_gamma 90.00
_space_group_name_H-M_alt 'P 1'
_space_group_IT_number 1
loop_
_space_group_symop_operation_xyz
'x,y,z'
loop_
_atom_site_label
_atom_site_type_symbol
_atom_site_fract_x
_atom_site_fract_y
_atom_site_fract_z
Be1 Be 0.500 0.000 0.500
Ir1 Ir 0.000 0.500 0.500
Ir2 Ir 0.000 0.000 0.000
Ba1 Ba 0.500 0.500 0.000
```

The space group is P4/mmm (123). The value obtained for the total energy is -5.005 eV/atom.

***

Record 4
Below is a relaxed BaBeIr2 crystal, with properties calculated at the PBE-GGA level.

Geometry as CIF:
```
data_BaBeIr2
_chemical_formula_sum 'Ba1 Be1 Ir2'
_cell_length_a 5.499
_cell_length_b 5.499
_cell_length_c 5.499
_cell_angle_alpha 148.41
_cell_angle_beta 121.29
_cell_angle_gamma 68.21
_space_group_name_H-M_alt 'P 1'
_space_group_IT_number 1
loop_
_space_group_symop_operation_xyz
'x,y,z'
loop_
_atom_site_label
_atom_site_type_symbol
_atom_site_fract_x
_atom_site_fract_y
_atom_site_fract_z
Ba1 Ba 0.250 0.750 0.500
Be1 Be 0.750 0.250 0.500
Ir1 Ir 0.943 0.943 0.000
Ir2 Ir 0.557 0.557 0.000
```

The space group is Immm (71). The value obtained for the total energy is -5.410 eV/atom.

***

Record 5
Below is a relaxed BaBe2Ir crystal, with properties calculated at the PBE-GGA level.

Geometry as CIF:
```
data_BaBe2Ir
_chemical_formula_sum 'Ba1 Be2 Ir1'
_cell_length_a 3.986
_cell_length_b 3.986
_cell_length_c 6.233
_cell_angle_alpha 70.92
_cell_angle_beta 70.92
_cell_angle_gamma 60.30
_space_group_name_H-M_alt 'P 1'
_space_group_IT_number 1
loop_
_space_group_symop_operation_xyz
'x,y,z'
loop_
_atom_site_label
_atom_site_type_symbol
_atom_site_fract_x
_atom_site_fract_y
_atom_site_fract_z
Be1 Be 0.757 0.757 0.747
Be2 Be 0.076 0.076 0.790
Ir1 Ir 0.440 0.440 0.700
Ba1 Ba 0.228 0.228 0.263
```

For the excess energy over the best structure of this formula in the dataset, the calculation gives 15 meV per atom. The space group is Cm (8).

***

Record 6
Below is a relaxed BaBeIr2 crystal, with properties calculated at the PBE-GGA level.

Geometry as CIF:
```
data_BaBeIr2
_chemical_formula_sum 'Ba1 Be1 Ir2'
_cell_length_a 5.027
_cell_length_b 5.027
_cell_length_c 5.027
_cell_angle_alpha 129.24
_cell_angle_beta 129.24
_cell_angle_gamma 74.63
_space_group_name_H-M_alt 'P 1'
_space_group_IT_number 1
loop_
_space_group_symop_operation_xyz
'x,y,z'
loop_
_atom_site_label
_atom_site_type_symbol
_atom_site_fract_x
_atom_site_fract_y
_atom_site_fract_z
Be1 Be 0.750 0.250 0.500
Ir1 Ir 0.000 0.000 0.000
Ir2 Ir 0.500 0.500 0.000
Ba1 Ba 0.250 0.750 0.500
```

The space group is I4/mmm (139). The value obtained for the total energy is -4.991 eV/atom.

***

Record 7
Below is a relaxed BaBeIr crystal, with properties calculated at the PBE-GGA level.

Geometry as CIF:
```
data_BaBeIr
_chemical_formula_sum 'Ba2 Be2 Ir2'
_cell_length_a 4.291
_cell_length_b 4.291
_cell_length_c 9.285
_cell_angle_alpha 90.00
_cell_angle_beta 90.00
_cell_angle_gamma 90.00
_space_group_name_H-M_alt 'P 1'
_space_group_IT_number 1
loop_
_space_group_symop_operation_xyz
'x,y,z'
loop_
_atom_site_label
_atom_site_type_symbol
_atom_site_fract_x
_atom_site_fract_y
_atom_site_fract_z
Ba1 Ba 0.500 0.000 0.230
Ba2 Ba 0.000 0.500 0.770
Be1 Be 0.500 0.000 0.574
Be2 Be 0.000 0.500 0.426
Ir1 Ir 0.500 0.500 0.500
Ir2 Ir 0.000 0.000 0.500
```

For the excess energy over the best structure of this formula in the dataset, the calculation gives 0 meV per atom. The space group is P4/nmm (129).

***

Record 8
Below is a relaxed BaBeIr2 crystal, with properties calculated at the PBE-GGA level.

Geometry as CIF:
```
data_BaBeIr2
_chemical_formula_sum 'Ba1 Be1 Ir2'
_cell_length_a 5.174
_cell_length_b 5.174
_cell_length_c 3.044
_cell_angle_alpha 90.00
_cell_angle_beta 90.00
_cell_angle_gamma 110.73
_space_group_name_H-M_alt 'P 1'
_space_group_IT_number 1
loop_
_space_group_symop_operation_xyz
'x,y,z'
loop_
_atom_site_label
_atom_site_type_symbol
_atom_site_fract_x
_atom_site_fract_y
_atom_site_fract_z
Ir1 Ir 0.500 0.500 0.000
Ir2 Ir 0.000 0.000 0.000
Ba1 Ba 0.500 0.000 0.500
Be1 Be 0.000 0.500 0.500
```

The space group is Cmmm (65). The value obtained for the total energy is -4.900 eV/atom.

***

Record 9
Below is a relaxed BaBeIr2 crystal, with properties calculated at the PBE-GGA level.

Geometry as CIF:
```
data_BaBeIr2
_chemical_formula_sum 'Ba1 Be1 Ir2'
_cell_length_a 3.060
_cell_length_b 5.016
_cell_length_c 4.866
_cell_angle_alpha 90.00
_cell_angle_beta 90.00
_cell_angle_gamma 90.00
_space_group_name_H-M_alt 'P 1'
_space_group_IT_number 1
loop_
_space_group_symop_operation_xyz
'x,y,z'
loop_
_atom_site_label
_atom_site_type_symbol
_atom_site_fract_x
_atom_site_fract_y
_atom_site_fract_z
Ba1 Ba 0.500 0.000 0.500
Be1 Be 0.000 0.500 0.500
Ir1 Ir 0.000 0.000 0.000
Ir2 Ir 0.500 0.500 0.000
```

The space group is Pmmm (47). The value obtained for the total energy is -4.952 eV/atom.

***

Record 10
Below is a relaxed BaBeIr2 crystal, with properties calculated at the PBE-GGA level.

Geometry as CIF:
```
data_BaBeIr2
_chemical_formula_sum 'Ba1 Be1 Ir2'
_cell_length_a 3.756
_cell_length_b 2.982
_cell_length_c 6.927
_cell_angle_alpha 82.19
_cell_angle_beta 90.00
_cell_angle_gamma 90.00
_space_group_name_H-M_alt 'P 1'
_space_group_IT_number 1
loop_
_space_group_symop_operation_xyz
'x,y,z'
loop_
_atom_site_label
_atom_site_type_symbol
_atom_site_fract_x
_atom_site_fract_y
_atom_site_fract_z
Be1 Be 0.500 0.750 0.750
Ba1 Ba 0.500 0.250 0.250
Ir1 Ir 0.000 0.537 0.592
Ir2 Ir 0.000 0.963 0.908
```

The space group is P2/m (10). The value obtained for the total energy is -5.592 eV/atom.

***

Record 11
Below is a relaxed Ba2BeIr crystal, with properties calculated at the PBE-GGA level.

Geometry as CIF:
```
data_Ba2BeIr
_chemical_formula_sum 'Ba2 Be1 Ir1'
_cell_length_a 3.683
_cell_length_b 4.021
_cell_length_c 8.862
_cell_angle_alpha 63.02
_cell_angle_beta 90.00
_cell_angle_gamma 90.00
_space_group_name_H-M_alt 'P 1'
_space_group_IT_number 1
loop_
_space_group_symop_operation_xyz
'x,y,z'
loop_
_atom_site_label
_atom_site_type_symbol
_atom_site_fract_x
_atom_site_fract_y
_atom_site_fract_z
Ba1 Ba 0.000 0.480 0.521
Ba2 Ba 0.000 0.020 0.979
Be1 Be 0.500 0.250 0.250
Ir1 Ir 0.500 0.750 0.750
```

The space group is Pmmm (47). The value obtained for the total energy is -3.658 eV/atom.

***

Record 12
Below is a relaxed Ba2BeIr crystal, with properties calculated at the PBE-GGA level.

Geometry as CIF:
```
data_Ba2BeIr
_chemical_formula_sum 'Ba2 Be1 Ir1'
_cell_length_a 5.827
_cell_length_b 5.827
_cell_length_c 5.827
_cell_angle_alpha 131.99
_cell_angle_beta 131.99
_cell_angle_gamma 70.24
_space_group_name_H-M_alt 'P 1'
_space_group_IT_number 1
loop_
_space_group_symop_operation_xyz
'x,y,z'
loop_
_atom_site_label
_atom_site_type_symbol
_atom_site_fract_x
_atom_site_fract_y
_atom_site_fract_z
Ba1 Ba 0.000 0.000 0.000
Ba2 Ba 0.250 0.750 0.500
Ir1 Ir 0.750 0.250 0.500
Be1 Be 0.500 0.500 0.000
```

The space group is I-4m2 (119). The value obtained for the total energy is -3.523 eV/atom.

***

Record 13
Below is a relaxed Ba2BeIr crystal, with properties calculated at the PBE-GGA level.

Geometry as CIF:
```
data_Ba2BeIr
_chemical_formula_sum 'Ba2 Be1 Ir1'
_cell_length_a 4.181
_cell_length_b 4.511
_cell_length_c 7.898
_cell_angle_alpha 73.43
_cell_angle_beta 90.00
_cell_angle_gamma 90.00
_space_group_name_H-M_alt 'P 1'
_space_group_IT_number 1
loop_
_space_group_symop_operation_xyz
'x,y,z'
loop_
_atom_site_label
_atom_site_type_symbol
_atom_site_fract_x
_atom_site_fract_y
_atom_site_fract_z
Ir1 Ir 0.500 0.603 0.669
Be1 Be 0.000 0.651 0.573
Ba1 Ba 0.000 0.002 0.871
Ba2 Ba 0.500 0.244 0.387
```

The space group is Amm2 (38). The value obtained for the total energy is -4.184 eV/atom.

***

Record 14
Below is a relaxed BaBeIr2 crystal, with properties calculated at the PBE-GGA level.

Geometry as CIF:
```
data_BaBeIr2
_chemical_formula_sum 'Ba1 Be1 Ir2'
_cell_length_a 5.112
_cell_length_b 5.622
_cell_length_c 2.985
_cell_angle_alpha 75.39
_cell_angle_beta 88.33
_cell_angle_gamma 116.55
_space_group_name_H-M_alt 'P 1'
_space_group_IT_number 1
loop_
_space_group_symop_operation_xyz
'x,y,z'
loop_
_atom_site_label
_atom_site_type_symbol
_atom_site_fract_x
_atom_site_fract_y
_atom_site_fract_z
Ir1 Ir 0.000 0.000 0.000
Ir2 Ir 0.500 0.000 0.500
Ba1 Ba 0.000 0.500 0.500
Be1 Be 0.500 0.500 0.000
```

The space group is C2/m (12). The value obtained for the total energy is -4.998 eV/atom.

***

Record 15
Below is a relaxed BaBe2Ir crystal, with properties calculated at the PBE-GGA level.

Geometry as CIF:
```
data_BaBe2Ir
_chemical_formula_sum 'Ba1 Be2 Ir1'
_cell_length_a 5.237
_cell_length_b 5.237
_cell_length_c 5.237
_cell_angle_alpha 136.47
_cell_angle_beta 110.82
_cell_angle_gamma 85.38
_space_group_name_H-M_alt 'P 1'
_space_group_IT_number 1
loop_
_space_group_symop_operation_xyz
'x,y,z'
loop_
_atom_site_label
_atom_site_type_symbol
_atom_site_fract_x
_atom_site_fract_y
_atom_site_fract_z
Ir1 Ir 0.250 0.750 0.500
Ba1 Ba 0.750 0.250 0.500
Be1 Be 0.110 0.110 0.000
Be2 Be 0.390 0.390 0.000
```

For the excess energy over the best structure of this formula in the dataset, the calculation gives 499 meV per atom. The space group is Immm (71).